No. 1
20
Lattice="6.530 0.000 0.000 0.000 9.581 0.000 0.000 0.000 9.543" Properties=species:S:1:pos:R:3 comment="Na3LaRh, optimized geometry, DFT PBE" e_tot_ev_per_atom=-3.23 space_group=Pnma formation_enthalpy_0k_ev_per_fu=0.1 relative_energy_ev_per_atom=0.151 total_magnetization_mub_per_cell=0.000 pbc="T T T"
Na 0.713 0.177 1.592
Na 0.713 4.614 1.592
Na 1.357 2.395 8.248
Na 1.908 7.186 3.476
Na 2.551 4.967 6.364
Na 2.551 9.404 6.364
Na 3.978 0.177 3.179
Na 3.978 4.614 3.179
Na 4.622 2.395 6.067
Na 5.172 7.186 1.296
Na 5.816 4.967 7.951
Na 5.816 9.404 7.951
La 0.901 2.395 4.230
La 2.364 7.186 9.001
La 4.166 2.395 0.542
La 5.628 7.186 5.313
Rh 0.000 0.000 4.772
Rh 0.000 4.790 4.772
Rh 3.265 0.000 0.000
Rh 3.265 4.790 0.000


No. 2
4
Lattice="2.068 1.194 10.736 -2.068 1.194 10.736 0.000 -2.388 10.736" Properties=species:S:1:pos:R:3 comment="NaLa2Rh, optimized geometry, DFT PBE" e_tot_ev_per_atom=-4.96 space_group=R-3m formation_enthalpy_0k_ev_per_fu=-1.3 relative_energy_ev_per_atom=0.074 total_magnetization_mub_per_cell=0.000 pbc="T T T"
Na 0.000 0.000 0.000
La 0.000 0.000 3.816
La 0.000 0.000 28.393
Rh 0.000 0.000 16.105


No. 3
10
Lattice="5.550 0.000 0.000 1.524 6.438 0.000 0.244 1.858 8.428" Properties=species:S:1:pos:R:3 comment="Na3LaRh, optimized geometry, DFT PBE" e_tot_ev_per_atom=-3.36 space_group=P1 formation_enthalpy_0k_ev_per_fu=-0.6 relative_energy_ev_per_atom=0.019 total_magnetization_mub_per_cell=0.000 pbc="T T T"
Na 0.000 0.000 0.000
Na 0.785 2.492 4.730
Na 2.330 0.820 2.139
Na 3.657 4.141 4.212
Na 4.986 7.477 6.289
Na 6.530 5.794 3.701
La 2.395 4.792 7.379
La 4.922 3.505 1.044
Rh 2.121 3.791 1.487
Rh 5.195 4.505 6.935


No. 4
10
Lattice="-2.781 2.781 10.694 2.781 -2.781 10.694 2.781 2.781 -10.694" Properties=species:S:1:pos:R:3 comment="Na3LaRh, optimized geometry, DFT PBE" e_tot_ev_per_atom=-3.07 space_group=I-4m2 formation_enthalpy_0k_ev_per_fu=0.9 relative_energy_ev_per_atom=0.312 total_magnetization_mub_per_cell=0.000 pbc="T T T"
Na 0.000 0.000 4.537
Na 1.417 2.781 -2.890
Na 1.364 0.000 7.804
Na 2.781 1.417 2.890
Na 0.000 0.000 16.851
Na 0.000 1.364 13.584
La 0.000 2.781 0.505
La 0.000 2.781 10.189
Rh 2.781 0.000 5.347
Rh 0.000 0.000 10.694


No. 5
4
Lattice="2.087 1.205 9.451 -2.087 1.205 9.451 0.000 -2.410 9.451" Properties=species:S:1:pos:R:3 comment="NaLa2Rh, optimized geometry, DFT PBE" e_tot_ev_per_atom=-5.03 space_group=R3m formation_enthalpy_0k_ev_per_fu=-1.6 relative_energy_ev_per_atom=0.000 total_magnetization_mub_per_cell=0.000 pbc="T T T"
Na 0.000 0.000 0.000
La 0.000 0.000 15.707
La 0.000 0.000 22.063
Rh 0.000 0.000 4.703


No. 6
10
Lattice="5.484 0.000 0.000 -2.741 6.519 0.000 -0.037 -1.432 8.851" Properties=species:S:1:pos:R:3 comment="Na3LaRh, optimized geometry, DFT PBE" e_tot_ev_per_atom=-3.37 space_group=P-1 formation_enthalpy_0k_ev_per_fu=-0.6 relative_energy_ev_per_atom=0.013 total_magnetization_mub_per_cell=0.000 pbc="T T T"
Na -0.016 -0.119 3.048
Na -0.038 0.736 8.446
Na -0.020 4.116 7.390
Na 2.726 0.971 1.461
Na 2.744 4.351 0.405
Na 2.723 5.206 5.803
La -0.020 3.475 3.549
La 2.726 1.612 5.302
Rh -0.017 1.719 5.624
Rh 2.723 3.369 3.228


No. 7
10
Lattice="5.354 0.000 0.000 -2.677 4.637 0.000 0.000 0.000 10.772" Properties=species:S:1:pos:R:3 comment="Na3LaRh, optimized geometry, DFT PBE" e_tot_ev_per_atom=-2.75 space_group=P6_3/mmc formation_enthalpy_0k_ev_per_fu=2.5 relative_energy_ev_per_atom=0.632 total_magnetization_mub_per_cell=0.000 pbc="T T T"
Na 0.000 0.000 2.693
Na 0.000 0.000 8.079
Na 0.000 3.091 0.755
Na 0.000 3.091 4.631
Na 2.677 1.546 6.141
Na 2.677 1.546 10.018
La 0.000 3.091 8.079
La 2.677 1.546 2.693
Rh 0.000 0.000 0.000
Rh 0.000 0.000 5.386


No. 8
10
Lattice="5.118 2.955 3.423 -5.118 2.955 3.423 0.000 -5.910 3.423" Properties=species:S:1:pos:R:3 comment="Na3LaRh, optimized geometry, DFT PBE" e_tot_ev_per_atom=-3.21 space_group=R-3c formation_enthalpy_0k_ev_per_fu=0.2 relative_energy_ev_per_atom=0.175 total_magnetization_mub_per_cell=0.000 pbc="T T T"
Na -3.626 -0.371 4.278
Na -1.492 -3.326 5.990
Na 2.134 -2.955 4.278
Na -2.134 2.955 5.990
Na 1.492 3.326 4.278
Na 3.626 0.371 5.990
La 0.000 0.000 0.000
La 0.000 0.000 5.134
Rh 0.000 0.000 2.567
Rh 0.000 0.000 7.701


No. 9
10
Lattice="3.763 0.000 0.000 1.846 8.241 0.000 0.072 4.135 9.987" Properties=species:S:1:pos:R:3 comment="Na3LaRh, optimized geometry, DFT PBE" e_tot_ev_per_atom=-3.38 space_group=P-1 formation_enthalpy_0k_ev_per_fu=-0.7 relative_energy_ev_per_atom=0.000 total_magnetization_mub_per_cell=0.000 pbc="T T T"
Na 0.930 4.757 3.762
Na 2.856 10.357 6.565
Na 2.807 7.381 2.745
Na 2.874 4.995 7.243
Na 2.825 2.019 3.423
Na 4.751 7.619 6.225
La 0.933 2.396 0.149
La 4.748 9.979 9.839
Rh 2.867 7.939 8.602
Rh 2.814 4.436 1.385


No. 10
4
Lattice="0.000 3.754 3.754 3.754 0.000 3.754 3.754 3.754 0.000" Properties=species:S:1:pos:R:3 comment="NaLa2Rh, optimized geometry, DFT PBE" e_tot_ev_per_atom=-4.76 space_group=Fm-3m formation_enthalpy_0k_ev_per_fu=-0.5 relative_energy_ev_per_atom=0.274 total_magnetization_mub_per_cell=0.000 pbc="T T T"
Na 0.000 0.000 0.000
La 1.877 1.877 1.877
La 5.632 5.632 5.632
Rh 3.754 3.754 3.754


No. 11
10
Lattice="3.338 1.927 8.328 -3.338 1.927 8.328 0.000 -3.855 8.328" Properties=species:S:1:pos:R:3 comment="Na3LaRh, optimized geometry, DFT PBE" e_tot_ev_per_atom=-3.17 space_group=R-3m formation_enthalpy_0k_ev_per_fu=0.4 relative_energy_ev_per_atom=0.208 total_magnetization_mub_per_cell=0.000 pbc="T T T"
Na 0.000 -1.881 9.747
Na -1.629 0.940 9.747
Na -1.629 -0.940 15.237
Na 1.629 0.940 9.747
Na 1.629 -0.940 15.237
Na 0.000 1.881 15.237
La 0.000 0.000 4.997
La 0.000 0.000 19.988
Rh 0.000 0.000 7.268
Rh 0.000 0.000 17.717


No. 12
10
Lattice="8.439 0.000 0.000 0.000 8.439 0.000 0.000 0.000 3.451" Properties=species:S:1:pos:R:3 comment="NaLa2Rh2, optimized geometry, DFT PBE" e_tot_ev_per_atom=-5.52 space_group=P4/mbm formation_enthalpy_0k_ev_per_fu=-1.7 relative_energy_ev_per_atom=0.129 total_magnetization_mub_per_cell=0.000 pbc="T T T"
Na 0.000 0.000 0.000
Na 4.220 4.220 0.000
La 1.234 2.985 0.000
La 2.985 7.205 0.000
La 5.454 1.234 0.000
La 7.205 5.454 0.000
Rh 1.240 5.459 1.726
Rh 2.980 1.240 1.726
Rh 5.459 7.200 1.726
Rh 7.200 2.980 1.726